Entry 1:
{"formula": "Ho2NpAsN5", "functional": "PBE", "state": "relaxed", "total_magnetization_mub_per_atom": 0.246, "total_energy_ev_per_atom": -8.446, "n_ef_per_ev_cell": 13.415, "sg": "Cmc2_1 (36)", "rho_kg_m3": 9847, "lattice_angstrom": [[1.7138, -6.9383, 0.0000], [1.7138, 6.9383, 0.0000], [0.0000, 0.0000, 10.0951]], "species": ["Ho", "Ho", "Ho", "Ho", "Np", "Np", "As", "As", "N", "N", "N", "N", "N", "N", "N", "N", "N", "N"], "fractional_positions": [[0.1146, 0.8854, 0.5000], [0.1303, 0.8697, 0.0900], [0.8697, 0.1303, 0.5900], [0.8854, 0.1146, 0.0000], [0.2123, 0.7877, 0.8049], [0.7877, 0.2123, 0.3049], [0.4937, 0.5063, 0.2774], [0.5063, 0.4937, 0.7774], [0.0439, 0.9561, 0.8527], [0.2871, 0.7129, 0.4469], [0.2983, 0.7017, 0.1665], [0.3734, 0.6266, 0.8151], [0.4963, 0.5037, 0.5949], [0.5037, 0.4963, 0.0949], [0.6266, 0.3734, 0.3151], [0.7017, 0.2983, 0.6665], [0.7129, 0.2871, 0.9469], [0.9561, 0.0439, 0.3527]]}

Entry 2:
{"formula": "HoPa2AsN5", "functional": "PBE", "state": "relaxed", "total_magnetization_mub_per_atom": 0.000, "total_energy_ev_per_atom": -8.826, "n_ef_per_ev_cell": 3.913, "sg": "Cmc2_1 (36)", "rho_kg_m3": 9083, "lattice_angstrom": [[1.6681, -8.2118, 0.0000], [1.6681, 8.2118, 0.0000], [0.0000, 0.0000, 10.3026]], "species": ["Ho", "Ho", "Pa", "Pa", "Pa", "Pa", "As", "As", "N", "N", "N", "N", "N", "N", "N", "N", "N", "N"], "fractional_positions": [[0.1721, 0.8279, 0.5000], [0.8279, 0.1721, 0.0000], [0.1523, 0.8477, 0.8406], [0.1750, 0.8250, 0.1705], [0.8250, 0.1750, 0.6705], [0.8477, 0.1523, 0.3406], [0.4978, 0.5022, 0.4904], [0.5022, 0.4978, 0.9904], [0.0517, 0.9483, 0.0600], [0.3056, 0.6944, 0.8283], [0.3067, 0.6933, 0.5100], [0.3093, 0.6907, 0.1690], [0.4418, 0.5582, 0.3367], [0.5582, 0.4418, 0.8367], [0.6907, 0.3093, 0.6690], [0.6933, 0.3067, 0.0100], [0.6944, 0.3056, 0.3283], [0.9483, 0.0517, 0.5600]]}

Entry 3:
{"formula": "Ho2Sc4As3N2", "functional": "PBE", "state": "relaxed", "total_magnetization_mub_per_atom": 0.000, "total_energy_ev_per_atom": -7.337, "n_ef_per_ev_cell": 6.736, "sg": "I4/mmm (139)", "rho_kg_m3": 6097, "lattice_angstrom": [[-2.1282, 2.1282, 11.4625], [2.1282, -2.1282, 11.4625], [2.1282, 2.1282, -11.4625]], "species": ["Ho", "Ho", "Sc", "Sc", "Sc", "Sc", "As", "As", "As", "N", "N"], "fractional_positions": [[0.1946, 0.1946, 0.0000], [0.8054, 0.8054, 0.0000], [0.0792, 0.5792, 0.5000], [0.4208, 0.9208, 0.5000], [0.5792, 0.0792, 0.5000], [0.9208, 0.4208, 0.5000], [0.3249, 0.3249, 0.0000], [0.5000, 0.5000, 0.0000], [0.6751, 0.6751, 0.0000], [0.0941, 0.0941, 0.0000], [0.9059, 0.9059, 0.0000]]}

Entry 4:
{"formula": "Ho4AsSe2N", "functional": "PBE", "state": "relaxed", "total_magnetization_mub_per_atom": 0.000, "total_energy_ev_per_atom": -6.403, "n_ef_per_ev_cell": 2.977, "sg": "P2/m (10)", "rho_kg_m3": 8730, "lattice_angstrom": [[6.7790, 0.0000, 0.0000], [0.0000, 3.8754, 0.0000], [-2.2361, 0.0000, 6.5641]], "species": ["Ho", "Ho", "Ho", "Ho", "As", "Se", "Se", "N"], "fractional_positions": [[0.2147, 0.0000, 0.2091], [0.2289, 0.5000, 0.7825], [0.7711, 0.5000, 0.2175], [0.7853, 0.0000, 0.7909], [0.5000, 0.0000, 0.0000], [0.0000, 0.0000, 0.5000], [0.5000, 0.5000, 0.5000], [0.0000, 0.5000, 0.0000]]}

Entry 5:
{"formula": "HoThAsN", "functional": "PBE", "state": "relaxed", "total_magnetization_mub_per_atom": 0.000, "total_energy_ev_per_atom": -7.489, "n_ef_per_ev_cell": 3.346, "sg": "P4/nmm (129)", "rho_kg_m3": 9101, "lattice_angstrom": [[4.3846, 0.0000, 0.0000], [0.0000, 4.3846, 0.0000], [0.0000, 0.0000, 9.2231]], "species": ["Ho", "Ho", "Th", "Th", "As", "As", "N", "N"], "fractional_positions": [[0.2500, 0.7500, 0.0000], [0.7500, 0.2500, 0.0000], [0.2500, 0.2500, 0.3903], [0.7500, 0.7500, 0.6097], [0.2500, 0.2500, 0.8040], [0.7500, 0.7500, 0.1960], [0.2500, 0.7500, 0.5000], [0.7500, 0.2500, 0.5000]]}

Entry 6:
{"formula": "NaHoAs", "functional": "PBE", "state": "relaxed", "total_magnetization_mub_per_atom": 0.000, "total_energy_ev_per_atom": -4.213, "n_ef_per_ev_cell": 4.289, "sg": "P4/nmm (129)", "rho_kg_m3": 5016, "lattice_angstrom": [[4.9111, 0.0000, 0.0000], [0.0000, 4.9111, 0.0000], [0.0000, 0.0000, 7.2161]], "species": ["Na", "Na", "Ho", "Ho", "As", "As"], "fractional_positions": [[0.2500, 0.2500, 0.1162], [0.7500, 0.7500, 0.8838], [0.2500, 0.7500, 0.5000], [0.7500, 0.2500, 0.5000], [0.2500, 0.2500, 0.7063], [0.7500, 0.7500, 0.2937]]}

Entry 7:
{"formula": "NaHoAs", "functional": "PBE", "state": "relaxed", "total_magnetization_mub_per_atom": 0.000, "total_energy_ev_per_atom": -4.090, "n_ef_per_ev_cell": 0.983, "sg": "I4mm (107)", "rho_kg_m3": 4330, "lattice_angstrom": [[-1.9752, 1.9752, 6.4597], [1.9752, -1.9752, 6.4597], [1.9752, 1.9752, -6.4597]], "species": ["Na", "Ho", "As"], "fractional_positions": [[0.0000, 0.0000, 0.0000], [0.2826, 0.2826, 0.0000], [0.7588, 0.7588, 0.0000]]}

Entry 8:
{"formula": "NaHoAs", "functional": "PBE", "state": "relaxed", "total_magnetization_mub_per_atom": 0.243, "total_energy_ev_per_atom": -4.027, "n_ef_per_ev_cell": 2.350, "sg": "P3m1 (156)", "rho_kg_m3": 4338, "lattice_angstrom": [[4.2421, 0.0000, 0.0000], [-2.1210, 3.6737, 0.0000], [0.0000, 0.0000, 6.4555]], "species": ["Na", "Ho", "As"], "fractional_positions": [[0.0000, 0.0000, 0.0000], [0.6667, 0.3333, 0.4641], [0.3333, 0.6667, 0.2699]]}

Entry 9:
{"formula": "Na3Ho3AsO8", "functional": "PBE", "state": "relaxed", "total_magnetization_mub_per_atom": 0.000, "total_energy_ev_per_atom": -6.586, "n_ef_per_ev_cell": 1.422, "sg": "R-3m (166)", "rho_kg_m3": 5933, "lattice_angstrom": [[3.3346, 1.9252, 5.5710], [-3.3346, 1.9252, 5.5710], [0.0000, -3.8505, 5.5710]], "species": ["Na", "Na", "Na", "Ho", "Ho", "Ho", "As", "O", "O", "O", "O", "O", "O", "O", "O"], "fractional_positions": [[0.0000, 0.5000, 0.5000], [0.5000, 0.0000, 0.5000], [0.5000, 0.5000, 0.0000], [0.0000, 0.0000, 0.5000], [0.0000, 0.5000, 0.0000], [0.5000, 0.0000, 0.0000], [0.5000, 0.5000, 0.5000], [0.2363, 0.2363, 0.2363], [0.2653, 0.7151, 0.7151], [0.2849, 0.2849, 0.7347], [0.2849, 0.7347, 0.2849], [0.7151, 0.2653, 0.7151], [0.7151, 0.7151, 0.2653], [0.7347, 0.2849, 0.2849], [0.7637, 0.7637, 0.7637]]}

Entry 10:
{"formula": "Na2HoAsO4", "functional": "PBE", "state": "relaxed", "total_magnetization_mub_per_atom": 0.000, "total_energy_ev_per_atom": -5.946, "sg": "P2/m (10)", "rho_kg_m3": 5472, "lattice_angstrom": [[5.7286, 0.0000, 0.0000], [0.0000, 3.3371, 0.0000], [-1.8976, 0.0000, 5.5530]], "species": ["Na", "Na", "Ho", "As", "O", "O", "O", "O"], "fractional_positions": [[0.0000, 0.0000, 0.0000], [0.5000, 0.5000, 0.0000], [0.0000, 0.5000, 0.5000], [0.5000, 0.0000, 0.5000], [0.2430, 0.0000, 0.7111], [0.2654, 0.5000, 0.2845], [0.7346, 0.5000, 0.7155], [0.7570, 0.0000, 0.2889]]}

Entry 11:
{"formula": "NaHoAs2O6", "functional": "PBE", "state": "relaxed", "total_magnetization_mub_per_atom": 0.000, "total_energy_ev_per_atom": -6.351, "n_ef_per_ev_cell": 4.241, "sg": "C2/c (15)", "rho_kg_m3": 4740, "lattice_angstrom": [[5.2115, -4.6889, 0.0000], [5.2115, 4.6889, 0.0000], [-2.8436, 0.0000, 6.2192]], "species": ["Na", "Na", "Ho", "Ho", "As", "As", "As", "As", "O", "O", "O", "O", "O", "O", "O", "O", "O", "O", "O", "O"], "fractional_positions": [[0.2115, 0.7885, 0.7500], [0.7885, 0.2115, 0.2500], [0.4056, 0.5944, 0.2500], [0.5944, 0.4056, 0.7500], [0.1224, 0.2737, 0.7445], [0.2737, 0.1224, 0.2445], [0.7263, 0.8776, 0.7555], [0.8776, 0.7263, 0.2555], [0.1082, 0.5999, 0.2834], [0.1400, 0.1702, 0.4551], [0.1702, 0.1400, 0.9551], [0.3027, 0.4732, 0.8688], [0.4001, 0.8918, 0.2166], [0.4732, 0.3027, 0.3688], [0.5268, 0.6973, 0.6312], [0.5999, 0.1082, 0.7834], [0.6973, 0.5268, 0.1312], [0.8298, 0.8600, 0.0449], [0.8600, 0.8298, 0.5449], [0.8918, 0.4001, 0.7166]]}

Entry 12:
{"formula": "Na2HoAs2O6", "functional": "PBE", "state": "relaxed", "total_magnetization_mub_per_atom": 0.087, "total_energy_ev_per_atom": -6.090, "n_ef_per_ev_cell": 1.342, "sg": "C2/m (12)", "rho_kg_m3": 4616, "lattice_angstrom": [[4.6028, -2.9577, 0.0000], [4.6028, 2.9577, 0.0000], [-3.1239, 0.0000, 6.0345]], "species": ["Na", "Na", "Ho", "As", "As", "O", "O", "O", "O", "O", "O"], "fractional_positions": [[0.2042, 0.2042, 0.1409], [0.7958, 0.7958, 0.8591], [0.0000, 0.0000, 0.5000], [0.4406, 0.4406, 0.7735], [0.5594, 0.5594, 0.2265], [0.2044, 0.6790, 0.2290], [0.2560, 0.2560, 0.5280], [0.3210, 0.7956, 0.7710], [0.6790, 0.2044, 0.2290], [0.7440, 0.7440, 0.4720], [0.7956, 0.3210, 0.7710]]}

Entry 13:
{"formula": "Na4Ho3AsS8", "functional": "PBE", "state": "relaxed", "total_magnetization_mub_per_atom": 0.000, "total_energy_ev_per_atom": -5.052, "n_ef_per_ev_cell": 0.000, "sg": "R-3m (166)", "rho_kg_m3": 4283, "lattice_angstrom": [[3.9266, 2.2670, 6.6659], [-3.9266, 2.2670, 6.6659], [0.0000, -4.5340, 6.6659]], "species": ["Na", "Na", "Na", "Na", "Ho", "Ho", "Ho", "As", "S", "S", "S", "S", "S", "S", "S", "S"], "fractional_positions": [[0.0000, 0.0000, 0.0000], [0.0000, 0.5000, 0.5000], [0.5000, 0.0000, 0.5000], [0.5000, 0.5000, 0.0000], [0.0000, 0.0000, 0.5000], [0.0000, 0.5000, 0.0000], [0.5000, 0.0000, 0.0000], [0.5000, 0.5000, 0.5000], [0.2423, 0.2423, 0.2423], [0.2511, 0.7351, 0.7351], [0.2649, 0.2649, 0.7489], [0.2649, 0.7489, 0.2649], [0.7351, 0.2511, 0.7351], [0.7351, 0.7351, 0.2511], [0.7489, 0.2649, 0.2649], [0.7577, 0.7577, 0.7577]]}

Entry 14:
{"formula": "Na2HoAsSe4", "functional": "PBE", "state": "relaxed", "total_magnetization_mub_per_atom": 0.000, "total_energy_ev_per_atom": -4.312, "sg": "Imma (74)", "rho_kg_m3": 5074, "lattice_angstrom": [[-4.0749, 4.1493, 5.8230], [4.0749, -4.1493, 5.8230], [4.0749, 4.1493, -5.8230]], "species": ["Na", "Na", "Na", "Na", "Ho", "Ho", "As", "As", "Se", "Se", "Se", "Se", "Se", "Se", "Se", "Se"], "fractional_positions": [[0.0000, 0.0000, 0.0000], [0.5000, 0.0000, 0.0000], [0.5000, 0.0000, 0.5000], [0.5000, 0.5000, 0.5000], [0.0000, 0.5000, 0.5000], [0.5000, 0.5000, 0.0000], [0.0000, 0.0000, 0.5000], [0.0000, 0.5000, 0.0000], [0.2215, 0.7455, 0.4760], [0.2305, 0.2545, 0.9760], [0.2371, 0.2463, 0.5091], [0.2371, 0.7280, 0.9909], [0.7629, 0.2720, 0.0091], [0.7629, 0.7537, 0.4909], [0.7695, 0.7455, 0.0240], [0.7785, 0.2545, 0.5240]]}

Entry 15:
{"formula": "HoNbAs2", "functional": "PBE", "state": "relaxed", "total_magnetization_mub_per_atom": 0.000, "total_energy_ev_per_atom": -6.970, "n_ef_per_ev_cell": 0.288, "sg": "R3m (160)", "rho_kg_m3": 8101, "lattice_angstrom": [[1.8920, 1.0924, 6.7388], [-1.8920, 1.0924, 6.7388], [0.0000, -2.1847, 6.7388]], "species": ["Ho", "Nb", "As", "As"], "fractional_positions": [[0.0000, 0.0000, 0.0000], [0.1742, 0.1742, 0.1742], [0.4286, 0.4286, 0.4286], [0.5807, 0.5807, 0.5807]]}

Entry 16:
{"formula": "HoNbAs2", "functional": "PBE", "state": "relaxed", "total_magnetization_mub_per_atom": 0.000, "total_energy_ev_per_atom": -6.889, "n_ef_per_ev_cell": 1.784, "sg": "R-3m (166)", "rho_kg_m3": 8124, "lattice_angstrom": [[1.9333, 1.1162, 6.4364], [-1.9333, 1.1162, 6.4364], [0.0000, -2.2323, 6.4364]], "species": ["Ho", "Nb", "As", "As"], "fractional_positions": [[0.0000, 0.0000, 0.0000], [0.5000, 0.5000, 0.5000], [0.2431, 0.2431, 0.2431], [0.7569, 0.7569, 0.7569]]}

Entry 17:
{"formula": "NdHo2As3", "functional": "PBE", "state": "relaxed", "total_magnetization_mub_per_atom": 0.000, "total_energy_ev_per_atom": -6.157, "n_ef_per_ev_cell": 0.885, "sg": "Immm (71)", "rho_kg_m3": 7598, "lattice_angstrom": [[-2.0802, 2.9441, 6.2350], [2.0802, -2.9441, 6.2350], [2.0802, 2.9441, -6.2350]], "species": ["Nd", "Ho", "Ho", "As", "As", "As"], "fractional_positions": [[0.0000, 0.0000, 0.0000], [0.3342, 0.3342, 0.0000], [0.6658, 0.6658, 0.0000], [0.1723, 0.6723, 0.5000], [0.5000, 0.0000, 0.5000], [0.8277, 0.3277, 0.5000]]}

Entry 18:
{"formula": "NdHo5As6", "functional": "PBE", "state": "relaxed", "total_magnetization_mub_per_atom": 0.000, "total_energy_ev_per_atom": -6.148, "n_ef_per_ev_cell": 1.834, "sg": "C2/m (12)", "rho_kg_m3": 7881, "lattice_angstrom": [[3.5770, -6.1947, 0.0000], [3.5770, 6.1947, 0.0000], [-2.3831, 0.0000, 6.7440]], "species": ["Nd", "Ho", "Ho", "Ho", "Ho", "Ho", "As", "As", "As", "As", "As", "As"], "fractional_positions": [[0.0000, 0.0000, 0.0000], [0.1653, 0.8347, 0.5000], [0.3329, 0.6671, 0.0000], [0.5000, 0.5000, 0.5000], [0.6671, 0.3329, 0.0000], [0.8347, 0.1653, 0.5000], [0.0847, 0.4237, 0.2539], [0.2548, 0.2548, 0.7471], [0.4237, 0.0847, 0.2539], [0.5763, 0.9153, 0.7461], [0.7452, 0.7452, 0.2529], [0.9153, 0.5763, 0.7461]]}

Entry 19:
{"formula": "NdHoAs2", "functional": "PBE", "state": "relaxed", "total_magnetization_mub_per_atom": 0.000, "total_energy_ev_per_atom": -6.175, "n_ef_per_ev_cell": 0.461, "sg": "R-3m (166)", "rho_kg_m3": 7340, "lattice_angstrom": [[2.0952, 1.2096, 6.8285], [-2.0952, 1.2096, 6.8285], [0.0000, -2.4193, 6.8285]], "species": ["Nd", "Ho", "As", "As"], "fractional_positions": [[0.0000, 0.0000, 0.0000], [0.5000, 0.5000, 0.5000], [0.2465, 0.2465, 0.2465], [0.7535, 0.7535, 0.7535]]}

Entry 20:
{"formula": "NdHoAs2", "functional": "PBE", "state": "relaxed", "total_magnetization_mub_per_atom": 0.000, "total_energy_ev_per_atom": -6.010, "n_ef_per_ev_cell": 0.351, "sg": "R3m (160)", "rho_kg_m3": 7168, "lattice_angstrom": [[2.0757, 1.1984, 7.1246], [-2.0757, 1.1984, 7.1246], [0.0000, -2.3968, 7.1246]], "species": ["Nd", "Ho", "As", "As"], "fractional_positions": [[0.0000, 0.0000, 0.0000], [0.8286, 0.8286, 0.8286], [0.4161, 0.4161, 0.4161], [0.5784, 0.5784, 0.5784]]}